# 1
{"formula": "MnCrHgCl2", "functional": "PBE-GGA", "state": "optimized geometry", "raw_formation_energy_ev_per_atom": 0.096, "lattice_angstrom": [[4.712, 0.000, 0.000], [0.000, 4.712, 0.000], [0.000, 0.000, 5.899]], "species": ["Mn", "Cr", "Hg", "Cl", "Cl"], "frac_coords": [[0.000, 0.000, 0.000], [0.500, 0.500, 0.500], [0.000, 0.000, 0.500], [0.000, 0.500, 0.000], [0.500, 0.000, 0.000]]}

---

# 2
{"formula": "Ce4Tl5Pb", "functional": "PBE-GGA", "state": "optimized geometry", "formation_energy_ev_per_atom": 0.05, "polymorph_energy_ev_per_atom": 0.280, "lattice_angstrom": [[6.786, 0.000, 0.000], [0.000, 11.133, 0.000], [0.000, 0.000, 8.362]], "species": ["Ce", "Ce", "Ce", "Ce", "Ce", "Ce", "Ce", "Ce", "Tl", "Tl", "Tl", "Tl", "Tl", "Tl", "Tl", "Tl", "Tl", "Tl", "Pb", "Pb"], "frac_coords": [[0.042, 0.250, 0.173], [0.250, 0.078, 0.493], [0.250, 0.422, 0.493], [0.458, 0.250, 0.173], [0.542, 0.750, 0.827], [0.750, 0.578, 0.507], [0.750, 0.922, 0.507], [0.958, 0.750, 0.827], [0.020, 0.539, 0.175], [0.020, 0.961, 0.175], [0.250, 0.250, 0.818], [0.480, 0.539, 0.175], [0.480, 0.961, 0.175], [0.520, 0.039, 0.825], [0.520, 0.461, 0.825], [0.750, 0.750, 0.182], [0.980, 0.039, 0.825], [0.980, 0.461, 0.825], [0.250, 0.750, 0.497], [0.750, 0.250, 0.503]]}

---

# 3
{"formula": "PuCo3SiGe", "functional": "PBE-GGA", "state": "optimized geometry", "raw_formation_energy_ev_per_atom": -0.194, "lattice_angstrom": [[2.617, -7.232, 0.000], [2.617, 7.232, 0.000], [0.000, 0.000, 5.186]], "species": ["Pu", "Pu", "Co", "Co", "Co", "Co", "Co", "Co", "Si", "Si", "Ge", "Ge"], "frac_coords": [[0.224, 0.776, 0.750], [0.776, 0.224, 0.250], [0.244, 0.756, 0.250], [0.247, 0.247, 0.000], [0.247, 0.247, 0.500], [0.753, 0.753, 0.000], [0.753, 0.753, 0.500], [0.756, 0.244, 0.750], [0.090, 0.910, 0.250], [0.910, 0.090, 0.750], [0.404, 0.596, 0.250], [0.596, 0.404, 0.750]]}